A plane-wave DFT calculation with meta-GGA SCAN was carried out for BaCu2Si at its PBEsol-relaxed geometry.

Properties
formation energy (no corrections)	-0.233	eV/atom
calculated volume	168.2	Å³ per cell
total moment	0.00	μB per cell
DOS(E_F)	3.4	states/eV per cell
crystal system	monoclinic

a = 7.134 Å, b = 4.117 Å, c = 6.177 Å
α = 90.00°, β = 111.97°, γ = 90.00°
Space group Cm (No. 8)
Inequivalent atoms, fractional coordinates:
1 Ba 0.000 0.000 0.000 (multiplicity 2)
2 Cu 0.180 0.000 0.552 (multiplicity 2)
3 Cu 0.494 0.000 0.491 (multiplicity 2)
4 Si 0.306 0.500 0.426 (multiplicity 2)